! GGA-PBE Rb2BiAsI6, relaxed; values from VASP
! - Symmetry: No. 139
! - ΔE_f (raw): -0.667 eV per atom
! - Density of states at the Fermi level: 0.39 states/eV/atom
! - Calculated volume: 453.2 Å³/f.u.
! - Magnetic moment: 0.000 μB per formula unit
! - E_tot: -2.644 eV per atom
&SYSTEM
  ibrav = 0, nat = 10, ntyp = 4
/
ATOMIC_SPECIES
I 126.90 I.upf
As 74.92 As.upf
Rb 85.47 Rb.upf
Bi 208.98 Bi.upf
CELL_PARAMETERS angstrom
8.579 0.000 0.000
0.000 8.579 0.000
4.289 4.289 6.158
ATOMIC_POSITIONS crystal
I 0.744 0.744 0.512
I 0.258 0.742 0.000
I 0.742 0.258 0.000
I 0.256 0.256 0.488
I 0.258 0.258 0.000
I 0.742 0.742 0.000
As 0.500 0.500 0.000
Rb 0.750 0.250 0.500
Rb 0.250 0.750 0.500
Bi 0.000 0.000 0.000